{"formula": "AlV2ReF", "functional": "PBE with a Hubbard U", "state": "relaxed", "lattice": [[4.122, 0.000, 0.000], [0.000, 4.122, 0.000], [0.000, 0.000, 4.344]], "species": ["Al", "V", "V", "Re", "F"], "frac_coords": [[0.000, 0.000, 0.000], [0.000, 0.500, 0.500], [0.500, 0.000, 0.500], [0.500, 0.500, 0.000], [0.000, 0.000, 0.500]], "total_energy_ev_per_atom": -6.3514, "magnetic_moment_mub_per_cell": 3.99}